No. 1
This record from the Alexandria database describes an optimized crystal structure of SrSeCl. The functional is PBE-GGA.

E_tot in eV per formula unit: -12.76
E_form (uncorrected) in kJ/mol of formula units: -554.2
Magnetic moment in μB/cell: 0.00
Energy relative to the lowest polymorph listed for this composition in meV per atom: 0

```
data_SrSeCl
_cell_length_a 4.386
_cell_length_b 5.638
_cell_length_c 8.039
_cell_angle_alpha 109.40
_cell_angle_beta 105.74
_cell_angle_gamma 91.00
_symmetry_space_group_name_H-M 'P -1'
_symmetry_Int_Tables_number 2
loop_
_symmetry_equiv_pos_as_xyz
'x,y,z'
'-x,-y,-z'
loop_
_atom_site_label
_atom_site_fract_x
_atom_site_fract_y
_atom_site_fract_z
_atom_site_occupancy
Sr1 0.139 0.145 0.282 1
Se1 0.471 0.788 0.009 1
Cl1 0.220 0.720 0.441 1
```

No. 2
This record from the Alexandria database describes an optimized crystal structure of CoPRuS2. The functional is PBE-GGA.

E_tot in eV per formula unit: -25.38
E_form (uncorrected) in kJ/mol of formula units: 450.3
Magnetic moment in μB/cell: 2.57
Energy relative to the lowest polymorph listed for this composition in meV per atom: 141

```
data_CoPRuS2
_cell_length_a 4.726
_cell_length_b 4.726
_cell_length_c 4.373
_cell_angle_alpha 90.00
_cell_angle_beta 90.00
_cell_angle_gamma 90.00
_symmetry_space_group_name_H-M 'P 4/m m m'
_symmetry_Int_Tables_number 123
_symmetry_space_group_name_Hall '-P 4 2'
loop_
_atom_site_label
_atom_site_fract_x
_atom_site_fract_y
_atom_site_fract_z
_atom_site_occupancy
Co1 0.000 0.000 0.000 1
P1 0.500 0.500 0.000 1
Ru1 0.500 0.500 0.500 1
S1 0.000 0.500 0.500 1
```